A | The following is a PBE calculation of an optimized crystal structure of HRuAu, from Alexandria.

```
6
Lattice="2.8609 0.0000 0.0000 -1.4304 2.4779 0.0000 -0.1424 -1.4805 9.9455" Properties=species:S:1:pos:R:3 pbc="T T T"
H 0.0000 0.0000 0.0000
H -0.1428 0.1729 6.2137
Ru -0.1476 0.1667 9.0652
Ru 1.2880 -0.6542 6.9934
Au -0.0139 0.0208 1.9036
Au 1.3051 0.9617 4.3881
```

## Properties
The value obtained for the density of states at the Fermi level is 3.67 states/eV per cell. As for the symmetry: No. 1.


B | The following is a PBE calculation of an optimized crystal structure of HRuAu, from Alexandria.

```
3
Lattice="2.8110 0.0000 0.0000 0.0000 2.8110 0.0000 0.0000 0.0000 4.3912" Properties=species:S:1:pos:R:3 pbc="T T T"
H 0.0000 0.0000 0.0000
Ru 1.4055 1.4055 0.0000
Au 0.0000 0.0000 2.1956
```

## Properties
The value obtained for the density of states at the Fermi level is 1.83 states/eV per cell. As for the symmetry: No. 123.


Short version: A, B, most stable first.


A | The following is a PBE calculation of an optimized crystal structure of HAuS3, from Alexandria.

```
5
Lattice="4.9390 0.0000 0.0000 0.0000 4.9390 0.0000 0.0000 0.0000 4.9390" Properties=species:S:1:pos:R:3 pbc="T T T"
H 0.0000 0.0000 0.0000
Au 2.4695 2.4695 2.4695
S 0.0000 2.4695 2.4695
S 2.4695 0.0000 2.4695
S 2.4695 2.4695 0.0000
```

## Properties
The value obtained for the density of states at the Fermi level is 2.74 states/eV per cell. As for the symmetry: No. 221.


B | The following is a PBE calculation of an optimized crystal structure of HAuS3, from Alexandria.

```
5
Lattice="4.1527 0.0000 0.0000 0.0000 4.1527 0.0000 0.0000 0.0000 4.1527" Properties=species:S:1:pos:R:3 pbc="T T T"
H 0.0000 0.0000 0.0000
Au 2.0763 2.0763 2.0763
S 0.0000 0.0000 2.0763
S 0.0000 2.0763 0.0000
S 2.0763 0.0000 0.0000
```

## Properties
The value obtained for the density of states at the Fermi level is 3.74 states/eV per cell. As for the symmetry: No. 221.


Short version: B, A, most stable first.


A | The following is a PBE calculation of an optimized crystal structure of HAuS2, from Alexandria.

```
4
Lattice="1.9436 1.1221 5.7373 -1.9436 1.1221 5.7373 0.0000 -2.2442 5.7373" Properties=species:S:1:pos:R:3 pbc="T T T"
H 0.0000 0.0000 0.0000
Au 0.0000 0.0000 8.6059
S 0.0000 0.0000 1.6340
S 0.0000 0.0000 15.5779
```

## Properties
The value obtained for the density of states at the Fermi level is 3.93 states/eV per cell. As for the symmetry: No. 166.


B | The following is a PBE calculation of an optimized crystal structure of HAuS2, from Alexandria.

```
4
Lattice="0.0000 3.0946 3.0946 3.0946 0.0000 3.0946 3.0946 3.0946 0.0000" Properties=species:S:1:pos:R:3 pbc="T T T"
H 0.0000 0.0000 0.0000
Au 3.0946 3.0946 3.0946
S 1.5473 1.5473 1.5473
S 4.6419 4.6419 4.6419
```

## Properties
The value obtained for the density of states at the Fermi level is 5.35 states/eV per cell. As for the symmetry: No. 225.


Short version: A, B, most stable first.